# Ti2CuO PBE-GGA optimized geometry
data_Ti2CuO
_space_group_name_H-M_alt 'R -3 m'
_space_group_IT_number 166
_space_group_name_Hall '-R 3 2"'
_cell_length_a 2.9902
_cell_length_b 2.9902
_cell_length_c 19.5381
_cell_angle_alpha 90.00
_cell_angle_beta 90.00
_cell_angle_gamma 120.00
loop_
_atom_site_label
_atom_site_type_symbol
_atom_site_fract_x
_atom_site_fract_y
_atom_site_fract_z
Ti1 Ti 0.0000 0.0000 0.2284
Cu1 Cu 0.0000 0.0000 0.0000
O1 O 0.0000 0.0000 0.5000
# Magnetic moment = 0.0 μB per formula unit
# Energy relative to the elements, uncorrected = -1.199 eV per atom
# Final energy = -88.9 eV per cell